The following is a DFT calculation (GGA-PBE) of a geometry-optimized Ac2ThTe3 structure.

It has space group P6_3/mmc (No. 194), with a = 4.4025 Å, b = 4.4025 Å, c = 25.1767 Å, α = 90.00°, β = 90.00° and γ = 120.00°. The distinct sites, in fractional coordinates, are Ac at (0.3333, 0.6667, 0.0854), Th at (0.0000, 0.0000, 0.2500), Te at (0.0000, 0.0000, 0.0000) and Te at (0.3333, 0.6667, 0.6724).

The theoretical density is 8.400 g/cm³. Its crystal system is hexagonal. For the magnetization, the calculation gives 0.00 μB/f.u. As for the uncorrected formation energy: -749 kJ/mol of formula units.

The following is a DFT calculation (GGA-PBE) of a geometry-optimized AcThTe6 structure.

It has space group Amm2 (No. 38), with a = 4.507 Å, b = 4.506 Å, c = 27.291 Å, α = 90.00°, β = 90.00° and γ = 90.00°. The distinct sites, in fractional coordinates, are Ac at (0.000, 0.000, 0.000), Th at (0.500, 0.000, 0.663), Te at (0.000, 0.000, 0.128), Te at (0.000, 0.000, 0.405), Te at (0.000, 0.000, 0.751), Te at (0.500, 0.000, 0.251), Te at (0.500, 0.000, 0.542) and Te at (0.500, 0.000, 0.905).

The theoretical density is 7.338 g/cm³. Its crystal system is orthorhombic. For the magnetization, the calculation gives 0.00 μB/f.u. As for the uncorrected formation energy: -787 kJ/mol of formula units.

The following is a DFT calculation (GGA-PBE) of a geometry-optimized AcTh4Te8 structure.

It has space group F-43m (No. 216), with a = 12.873 Å, b = 12.873 Å, c = 12.873 Å, α = 90.00°, β = 90.00° and γ = 90.00°. The distinct sites, in fractional coordinates, are Ac at (0.000, 0.000, 0.000), Th at (0.109, 0.109, 0.609), Te at (0.133, 0.133, 0.367) and Te at (0.141, 0.141, 0.859).

The theoretical density is 6.775 g/cm³. Its crystal system is cubic. For the magnetization, the calculation gives 0.00 μB/f.u. As for the uncorrected formation energy: -1384 kJ/mol of formula units.

The following is a DFT calculation (GGA-PBE) of a geometry-optimized AcTh3Te6 structure.

It has space group P2_1/m (No. 11), with a = 12.618 Å, b = 4.425 Å, c = 13.305 Å, α = 90.00°, β = 107.43° and γ = 90.00°. The distinct sites, in fractional coordinates, are Ac at (0.045, 0.250, 0.197), Th at (0.132, 0.250, 0.570), Th at (0.320, 0.750, 0.991), Th at (0.424, 0.250, 0.351), Te at (0.105, 0.750, 0.397), Te at (0.126, 0.250, 0.968), Te at (0.199, 0.750, 0.747), Te at (0.263, 0.750, 0.214), Te at (0.391, 0.250, 0.580) and Te at (0.486, 0.250, 0.125).

The theoretical density is 7.913 g/cm³. Its crystal system is monoclinic. For the magnetization, the calculation gives 0.01 μB/f.u. As for the uncorrected formation energy: -1175 kJ/mol of formula units.

The following is a DFT calculation (GGA-PBE) of a geometry-optimized Ac5ThTe6 structure.

It has space group C2/m (No. 12), with a = 8.060 Å, b = 14.033 Å, c = 8.177 Å, α = 90.00°, β = 109.47° and γ = 90.00°. The distinct sites, in fractional coordinates, are Ac at (0.000, 0.000, 0.000), Ac at (0.000, 0.164, 0.500), Ac at (0.000, 0.327, 0.000), Th at (0.000, 0.500, 0.500), Te at (0.238, 0.500, 0.249) and Te at (0.241, 0.338, 0.742).

The theoretical density is 8.123 g/cm³. Its crystal system is monoclinic. For the magnetization, the calculation gives 0.00 μB/f.u. As for the uncorrected formation energy: -1617 kJ/mol of formula units.

The following is a DFT calculation (GGA-PBE) of a geometry-optimized AcThTe4 structure.

It has space group P4/mbm (No. 127), with a = 7.351 Å, b = 7.351 Å, c = 8.306 Å, α = 90.00°, β = 90.00° and γ = 90.00°. The distinct sites, in fractional coordinates, are Ac at (0.000, 0.000, 0.000), Th at (0.000, 0.000, 0.500) and Te at (0.249, 0.251, 0.265).

The energy relative to the lowest polymorph listed for this composition is 57 kJ/mol of formula units. The theoretical density is 7.172 g/cm³. Its crystal system is tetragonal. For the magnetization, the calculation gives 0.00 μB/f.u. As for the uncorrected formation energy: -613 kJ/mol of formula units.

The following is a DFT calculation (GGA-PBE) of a geometry-optimized AcThTe4 structure.

It has space group P4/mmm (No. 123), with a = 5.327 Å, b = 5.327 Å, c = 8.060 Å, α = 90.00°, β = 90.00° and γ = 90.00°. The distinct sites, in fractional coordinates, are Ac at (0.000, 0.000, 0.000), Th at (0.500, 0.500, 0.500) and Te at (0.000, 0.500, 0.266).

The energy relative to the lowest polymorph listed for this composition is 0 kJ/mol of formula units. The theoretical density is 7.039 g/cm³. Its crystal system is tetragonal. For the magnetization, the calculation gives 0.00 μB/f.u. As for the uncorrected formation energy: -669 kJ/mol of formula units.

The following is a DFT calculation (GGA-PBE) of a geometry-optimized Ac2ThTe structure.

It has space group P4/mmm (No. 123), with a = 3.982 Å, b = 3.982 Å, c = 9.349 Å, α = 90.00°, β = 90.00° and γ = 90.00°. The distinct sites, in fractional coordinates, are Ac at (0.000, 0.000, 0.228), Th at (0.500, 0.500, 0.500) and Te at (0.500, 0.500, 0.000).

The theoretical density is 9.114 g/cm³. Its crystal system is tetragonal. For the magnetization, the calculation gives 0.00 μB/f.u. As for the uncorrected formation energy: -198 kJ/mol of formula units.